Record 1
An optimized crystal structure of SrCoIr2. Source: the Alexandria database, functional GGA-PBEsol.

Unit cell a=2.888 b=2.888 c=7.888 alpha=90.00 beta=90.00 gamma=90.00
Last column: magnetic moment on the atom in μB.
Sites, in units of the cell vectors:
Co 0.500 0.500 0.804  1.19
Ir 0.000 0.000 0.985  0.11
Ir 0.500 0.500 0.202  -0.27
Sr 0.000 0.000 0.509  -0.06

Results
relative energy among the computed polymorphs = 374 meV per atom
space group = P4mm, No. 99
energy relative to the elements = 37 kJ per mole of atoms

***

Record 2
An optimized crystal structure of Si3NiAu. Source: the Alexandria database, functional GGA-PBEsol.

Unit cell a=4.717 b=4.717 c=4.717 alpha=90.00 beta=90.00 gamma=90.00
Sites, in units of the cell vectors:
Ni 0.500 0.500 0.500
Si 0.000 0.500 0.000
Si 0.000 0.000 0.500
Si 0.500 0.000 0.000
Au 0.000 0.000 0.000

Results
formation energy from raw total energies = 1.312 eV per atom
space group = Pm-3m, No. 221

***

Q: What is the formula in the second record?
A: Si3NiAu